## SrZrO3 (GGA-PBEsol)

Data for a geometry-optimized SrZrO3 structure.

```
SrZrO3
1.0
-5.1595 -4.1078 4.9910
5.6335 0.2741 6.0493
-3.1699 7.1733 2.6270
O Sr Zr
24 8 8
direct
0.7503 0.0118 0.0013 O
0.0118 0.0013 0.7503 O
0.2503 0.4882 0.9987 O
0.4891 0.9994 0.7503 O
0.4994 0.7497 0.5109 O
0.0006 0.2503 0.0109 O
0.5006 0.2497 0.9891 O
0.2503 0.0109 0.0006 O
0.9994 0.7503 0.4891 O
0.5109 0.4994 0.7497 O
0.4987 0.2497 0.5118 O
0.7497 0.5109 0.4994 O
0.0013 0.7503 0.0118 O
0.9882 0.5013 0.7497 O
0.2497 0.9891 0.5006 O
0.9987 0.2503 0.4882 O
0.5013 0.7497 0.9882 O
0.4882 0.9987 0.2503 O
0.0109 0.0006 0.2503 O
0.9891 0.5006 0.2497 O
0.7497 0.9882 0.5013 O
0.2497 0.5118 0.4987 O
0.7503 0.4891 0.9994 O
0.5118 0.4987 0.2497 O
0.7622 0.2622 0.2378 Sr
0.2388 0.2388 0.2388 Sr
0.2612 0.7612 0.7388 Sr
0.2622 0.2378 0.7622 Sr
0.7612 0.7388 0.2612 Sr
0.2378 0.7622 0.2622 Sr
0.7388 0.2612 0.7612 Sr
0.7378 0.7378 0.7378 Sr
0.5017 0.9983 0.0017 Zr
0.4988 0.5012 0.0012 Zr
0.4983 0.4983 0.4983 Zr
0.5012 0.0012 0.4988 Zr
0.0017 0.5017 0.9983 Zr
0.0012 0.4988 0.5012 Zr
0.9983 0.0017 0.5017 Zr
0.9988 0.9988 0.9988 Zr
```

Summary:
The formation energy without anion corrections comes out at -3.29 eV/atom. As for the space group: P2_13 (198). The calculated total energy is -8.6295 eV per atom. The calculation puts the calculated volume at 14.1 A^3/atom.